# 1
A relaxed YInAsSe2 crystal, computed with PBE-GGA.

The structure belongs to space group P4/mmm (No. 123); the cell edges are 5.574, 5.574 and 5.765 Å and the angles 90.00°, 90.00° and 90.00°. Symmetry generates all atoms from Y at (0.000, 0.000, 0.000), In at (0.500, 0.500, 0.500), As at (0.000, 0.000, 0.500) and Se at (0.000, 0.500, 0.000).

The calculation puts the raw formation energy at -0.29 eV per atom. The value obtained for the energy above the most stable polymorph in this dataset is 0.000 eV/atom. As for the final energy: -4.4527 eV per atom.

# 2
A relaxed LaHf2Os crystal, computed with PBE-GGA.

The structure belongs to space group I-42d (No. 122); the cell edges are 8.146, 8.146 and 6.080 Å and the angles 90.00°, 90.00° and 90.00°. Symmetry generates all atoms from La at (0.000, 0.000, 0.000), Hf at (0.177, 0.250, 0.625) and Os at (0.000, 0.000, 0.500).

The value obtained for the formation energy is 0.1603 eV/atom. The value obtained for the energy above the most stable polymorph in this dataset is 0.354 eV/atom. As for the final energy: -8.8557 eV per atom.

# 3
A relaxed MnBeHg2 crystal, computed with PBE-GGA.

The structure belongs to space group C2/m (No. 12); the cell edges are 6.307, 6.351 and 3.367 Å and the angles 90.00°, 90.18° and 90.00°. Symmetry generates all atoms from Mn at (0.000, 0.000, 0.000), Be at (0.000, 0.500, 0.000) and Hg at (0.250, 0.250, 0.500).

The value obtained for the formation energy is 0.4451 eV/atom. As for the final energy: -2.9297 eV per atom.

# 4
A relaxed Ga12Hg3Bi5 crystal, computed with PBE-GGA.

The structure belongs to space group Ia-3d (No. 230); the cell edges are 16.538, 16.538 and 16.538 Å and the angles 90.00°, 90.00° and 90.00°. Symmetry generates all atoms from Ga at (0.013, 0.088, 0.654), Hg at (0.000, 0.250, 0.125), Bi at (0.000, 0.000, 0.000) and Bi at (0.000, 0.250, 0.375).

The value obtained for the formation energy is 0.1649 eV/atom. As for the final energy: -2.6668 eV per atom.

# 5
A relaxed HoAg2Pd crystal, computed with PBE-GGA.

The structure belongs to space group P2_1/m (No. 11); the cell edges are 4.167, 8.066 and 5.289 Å and the angles 90.00°, 113.16° and 90.00°. Symmetry generates all atoms from Ho at (0.061, 0.250, 0.124), Ag at (0.364, 0.054, 0.727) and Pd at (0.232, 0.750, 0.466).

The value obtained for the formation energy is -0.4113 eV/atom. The value obtained for the energy above the most stable polymorph in this dataset is 0.081 eV/atom. As for the final energy: -4.2795 eV per atom.

# 6
A relaxed RbScGe crystal, computed with PBE-GGA.

The structure belongs to space group Cm (No. 8); the cell edges are 12.232, 4.047 and 8.308 Å and the angles 90.00°, 94.99° and 90.00°. Symmetry generates all atoms from Rb at (0.000, 0.000, 0.000), Rb at (0.226, 0.500, 0.764), Sc at (0.206, 0.500, 0.313), Sc at (0.436, 0.000, 0.400), Ge at (0.084, 0.000, 0.447) and Ge at (0.293, 0.000, 0.136).

The value obtained for the formation energy is -0.0869 eV/atom. The value obtained for the energy above the most stable polymorph in this dataset is 0.273 eV/atom. As for the final energy: -4.0591 eV per atom.

# 7
A relaxed HfNiGe2 crystal, computed with PBE-GGA.

The structure belongs to space group Fm-3m (No. 225); the cell edges are 6.392, 6.392 and 6.392 Å and the angles 90.00°, 90.00° and 90.00°. Symmetry generates all atoms from Hf at (0.000, 0.000, 0.000), Ni at (0.000, 0.000, 0.500) and Ge at (0.250, 0.250, 0.250).

The value obtained for the formation energy is -0.0614 eV/atom. As for the final energy: -6.3037 eV per atom.

# 8
A relaxed La2Tb2Er3 crystal, computed with PBE-GGA.

The structure belongs to space group P2_1/c (No. 14); the cell edges are 6.419, 11.648 and 6.351 Å and the angles 90.00°, 97.06° and 90.00°. Symmetry generates all atoms from La at (0.021, 0.148, 0.467), Tb at (0.408, 0.722, 0.707), Er at (0.245, 0.040, 0.968) and Er at (0.500, 0.000, 0.500).

The value obtained for the formation energy is 0.1914 eV/atom. The value obtained for the energy above the most stable polymorph in this dataset is 0.000 eV/atom. As for the final energy: -4.4948 eV per atom.